# BeNi2W | Alexandria via LeMat-Bulk | PBE-GGA | relaxed
# DFT formation energy ... 0.334 eV per atom
# Volume ... 12.173 A^3/atom
# M_tot ... 0.0 μB per formula unit
data_BeNi2W
_cell_length_a 3.4368
_cell_length_b 3.4368
_cell_length_c 8.5956
_cell_angle_alpha 78.47
_cell_angle_beta 78.47
_cell_angle_gamma 90.00
_space_group_name_H-M_alt 'P 1'
_space_group_IT_number 1
loop_
_space_group_symop_operation_xyz
'x,y,z'
loop_
_atom_site_label
_atom_site_type_symbol
_atom_site_fract_x
_atom_site_fract_y
_atom_site_fract_z
Ni1 Ni 0.6042 0.1250 0.2500
W1 W 0.0000 0.0000 0.0000
Be1 Be 0.5000 0.5000 0.0000
Be2 Be 0.2500 0.7500 0.5000
Ni2 Ni 0.8750 0.8542 0.7500
Ni3 Ni 0.1458 0.6250 0.2500
W2 W 0.7500 0.2500 0.5000
Ni4 Ni 0.3750 0.3958 0.7500

***

# TbNd4Al | Alexandria via LeMat-Bulk | PBE-GGA | relaxed
# DFT formation energy ... -0.094 eV per atom
# Volume ... 31.731 A^3/atom
# Distance to the lowest polymorph of the same formula ... 0.00 eV/f.u.
# M_tot ... 0.0 μB per formula unit
data_TbNd4Al
_cell_length_a 3.6205
_cell_length_b 3.6205
_cell_length_c 14.5244
_cell_angle_alpha 90.00
_cell_angle_beta 90.00
_cell_angle_gamma 90.00
_space_group_name_H-M_alt 'P 1'
_space_group_IT_number 1
loop_
_space_group_symop_operation_xyz
'x,y,z'
loop_
_atom_site_label
_atom_site_type_symbol
_atom_site_fract_x
_atom_site_fract_y
_atom_site_fract_z
Al1 Al 0.5000 0.5000 0.5000
Nd1 Nd 0.5000 0.5000 0.8223
Nd2 Nd 0.0000 0.0000 0.3642
Nd3 Nd 0.0000 0.0000 0.6358
Tb1 Tb 0.0000 0.0000 0.0000
Nd4 Nd 0.5000 0.5000 0.1777

***

# BaTlZnAg2 | Alexandria via LeMat-Bulk | PBE-GGA | relaxed
# DFT formation energy ... -0.054 eV per atom
# Volume ... 28.341 A^3/atom
# M_tot ... 0.0 μB per formula unit
data_BaTlZnAg2
_cell_length_a 5.1678
_cell_length_b 5.1678
_cell_length_c 5.3062
_cell_angle_alpha 90.00
_cell_angle_beta 90.00
_cell_angle_gamma 90.00
_space_group_name_H-M_alt 'P 1'
_space_group_IT_number 1
loop_
_space_group_symop_operation_xyz
'x,y,z'
loop_
_atom_site_label
_atom_site_type_symbol
_atom_site_fract_x
_atom_site_fract_y
_atom_site_fract_z
Zn1 Zn 0.0000 0.0000 0.0000
Tl1 Tl 0.0000 0.0000 0.5000
Ag1 Ag 0.0000 0.5000 0.0000
Ba1 Ba 0.5000 0.5000 0.5000
Ag2 Ag 0.5000 0.0000 0.0000

***

# Mg8Tl2Pd | Alexandria via LeMat-Bulk | PBE-GGA | relaxed
# DFT formation energy ... -0.143 eV per atom
# Volume ... 22.219 A^3/atom
# Distance to the lowest polymorph of the same formula ... 0.16 eV/f.u.
# M_tot ... 0.0 μB per formula unit
data_Mg8Tl2Pd
_cell_length_a 4.9381
_cell_length_b 5.1763
_cell_length_c 10.0496
_cell_angle_alpha 100.68
_cell_angle_beta 104.22
_cell_angle_gamma 90.00
_space_group_name_H-M_alt 'P 1'
_space_group_IT_number 1
loop_
_space_group_symop_operation_xyz
'x,y,z'
loop_
_atom_site_label
_atom_site_type_symbol
_atom_site_fract_x
_atom_site_fract_y
_atom_site_fract_z
Mg1 Mg 0.6504 0.1356 0.3008
Mg2 Mg 0.7501 0.6953 0.5002
Mg3 Mg 0.9426 0.7856 0.8851
Tl1 Tl 0.8408 0.2414 0.6817
Mg4 Mg 0.5723 0.5894 0.1445
Tl2 Tl 0.1592 0.7586 0.3183
Mg5 Mg 0.0574 0.2144 0.1149
Mg6 Mg 0.4277 0.4106 0.8555
Mg7 Mg 0.3496 0.8644 0.6992
Mg8 Mg 0.2499 0.3047 0.4998
Pd1 Pd 0.5000 0.0000 0.0000